VASP calculation (GGA-PBE) on a relaxed structure of In2PSe.

As for the crystal system: tetragonal. The energy above the most stable polymorph in this dataset is 396 meV/atom. The raw formation energy comes out at 0.1287 eV per atom. The magnetic moment is 0.0 μB per cell. The value obtained for the volume is 22.02 A^3/atom.

It has space group P4/mmm (No. 123), with a = 3.545 Å, b = 3.545 Å, c = 7.009 Å, α = 90.00°, β = 90.00° and γ = 90.00°. The inequivalent atoms are In at (0.000, 0.000, 0.237), P at (0.500, 0.500, 0.000) and Se at (0.500, 0.500, 0.500).